1.
## SbAu2 (GGA-PBE)

Data for crystalline SbAu2 at its relaxed geometry.

Cell lengths 4.2016, 4.2016, 4.0055 Å; angles 90.00, 90.00, 90.00 degrees
Space group P4/mmm (No. 123)
Asymmetric unit:
Sb  0.0000  0.0000  0.0000 (multiplicity 1)
Au  0.0000  0.5000  0.5000 (multiplicity 2)

Results
Its spin magnetization is 0.000 μB per formula unit. The calculation puts the volume at 23.57 A^3/atom. The density of states at the Fermi level comes out at 0.376 states/eV/atom. The formation energy without anion corrections is 0.048 eV per atom.

***

2.
## YZn2Cu (GGA-PBE)

Data for crystalline YZn2Cu at its relaxed geometry.

Cell lengths 6.5455, 6.5455, 6.5455 Å; angles 90.00, 90.00, 90.00 degrees
Space group Fm-3m (No. 225)
Asymmetric unit:
Y  0.0000  0.0000  0.0000 (multiplicity 4)
Zn  0.2500  0.2500  0.2500 (multiplicity 8)
Cu  0.0000  0.0000  0.5000 (multiplicity 4)

Results
For the formation energy, the calculation gives -0.22 eV per atom. Its spin magnetization is 0.000 μB per formula unit. The calculation puts the volume at 17.53 A^3/atom. The density of states at the Fermi level comes out at 0.466 states/eV/atom.

***

3.
## CdAgSb2 (GGA-PBE)

Data for crystalline CdAgSb2 at its relaxed geometry.

Cell lengths 6.4541, 6.4541, 12.5961 Å; angles 90.00, 90.00, 90.00 degrees
Space group I-42d (No. 122)
Asymmetric unit:
Cd  0.0000  0.0000  0.0000 (multiplicity 4)
Ag  0.0000  0.0000  0.5000 (multiplicity 4)
Sb  0.2295  0.2500  0.6250 (multiplicity 8)

Results
Its spin magnetization is 0.000 μB per formula unit. The calculation puts the volume at 32.79 A^3/atom. The density of states at the Fermi level comes out at 0.991 states/eV/atom. The formation energy without anion corrections is 0.298 eV per atom. The energy relative to the lowest polymorph listed for this composition comes out at 0.220 eV/atom.